{"formula": "La9PmIn2", "functional": "PBE", "state": "relaxed", "cell": [[5.106, 0.000, 0.000], [0.000, 5.106, 0.000], [0.000, 0.000, 15.503]], "species": ["La", "La", "La", "La", "La", "La", "La", "La", "La", "Pm", "In", "In"], "frac_coords": [[0.000, 0.000, 0.000], [0.000, 0.000, 0.339], [0.000, 0.000, 0.661], [0.000, 0.500, 0.173], [0.000, 0.500, 0.500], [0.000, 0.500, 0.827], [0.500, 0.000, 0.173], [0.500, 0.000, 0.500], [0.500, 0.000, 0.827], [0.500, 0.500, 0.000], [0.500, 0.500, 0.337], [0.500, 0.500, 0.663]], "final_energy_ev_per_atom": -4.735, "delta_e_f_mev_per_atom": -187, "magmom_total_mub_per_fu": 0.000, "spacegroup": "P4/mmm"}

***

{"formula": "La4Pm3In", "functional": "PBE", "state": "relaxed", "cell": [[13.974, -2.681, 0.000], [13.974, 2.681, 0.000], [-0.498, 0.000, 3.743]], "species": ["La", "La", "La", "La", "Pm", "Pm", "Pm", "In"], "frac_coords": [[0.097, 0.097, 0.094], [0.217, 0.217, 0.217], [0.783, 0.783, 0.783], [0.903, 0.903, 0.906], [0.355, 0.355, 0.357], [0.500, 0.500, 0.000], [0.645, 0.645, 0.643], [0.000, 0.000, 0.500]], "polymorph_energy_ev_per_fu": 0.593, "final_energy_ev_per_atom": -4.618, "delta_e_f_mev_per_atom": -30, "magmom_total_mub_per_fu": 0.000, "spacegroup": "C2/m"}

***

{"formula": "La5Pm4In", "functional": "PBE", "state": "relaxed", "cell": [[-5.275, 5.275, 3.148], [5.275, -5.275, 3.148], [5.275, 5.275, -3.148]], "species": ["La", "La", "La", "La", "La", "Pm", "Pm", "Pm", "Pm", "In"], "frac_coords": [[0.000, 0.000, 0.000], [0.058, 0.438, 0.997], [0.061, 0.058, 0.620], [0.438, 0.441, 0.380], [0.441, 0.061, 0.003], [0.058, 0.742, 0.313], [0.428, 0.745, 0.687], [0.742, 0.428, 0.683], [0.745, 0.058, 0.317], [0.514, 0.514, 0.000]], "polymorph_energy_ev_per_fu": 1.089, "final_energy_ev_per_atom": -4.549, "delta_e_f_mev_per_atom": 89, "magmom_total_mub_per_fu": 0.000, "spacegroup": "I4"}

***

{"formula": "La2PmIn2", "functional": "PBE", "state": "relaxed", "cell": [[4.621, 0.000, 0.000], [0.000, 5.052, 0.000], [-2.293, 0.000, 13.202]], "species": ["La", "La", "La", "La", "Pm", "Pm", "In", "In", "In", "In"], "frac_coords": [[0.048, 0.250, 0.096], [0.240, 0.250, 0.480], [0.760, 0.750, 0.520], [0.952, 0.750, 0.904], [0.142, 0.750, 0.285], [0.858, 0.250, 0.715], [0.352, 0.750, 0.702], [0.451, 0.250, 0.902], [0.549, 0.750, 0.098], [0.648, 0.250, 0.298]], "polymorph_energy_ev_per_fu": 0.018, "final_energy_ev_per_atom": -4.416, "delta_e_f_mev_per_atom": -399, "magmom_total_mub_per_fu": 0.000, "spacegroup": "P2_1/m"}

***

{"formula": "La5Pm3In3", "functional": "PBE", "state": "relaxed", "cell": [[11.110, 0.000, 0.000], [-5.555, 9.622, 0.000], [0.000, 0.000, 3.488]], "species": ["La", "La", "La", "La", "La", "Pm", "Pm", "Pm", "In", "In", "In"], "frac_coords": [[0.000, 0.658, 0.000], [0.333, 0.667, 0.000], [0.342, 0.342, 0.000], [0.658, 0.000, 0.000], [0.667, 0.333, 0.000], [0.000, 0.169, 0.000], [0.169, 0.000, 0.000], [0.831, 0.831, 0.000], [0.000, 0.412, 0.500], [0.412, 0.000, 0.500], [0.588, 0.588, 0.500]], "final_energy_ev_per_atom": -4.232, "delta_e_f_mev_per_atom": 50, "magmom_total_mub_per_fu": 0.001, "spacegroup": "P-62m"}

***

{"formula": "LaPm6In2", "functional": "PBE", "state": "relaxed", "cell": [[9.272, -6.045, 0.000], [9.272, 6.045, 0.000], [0.000, 0.000, 5.315]], "species": ["La", "La", "Pm", "Pm", "Pm", "Pm", "Pm", "Pm", "Pm", "Pm", "Pm", "Pm", "Pm", "Pm", "In", "In", "In", "In"], "frac_coords": [[0.232, 0.768, 0.750], [0.768, 0.232, 0.250], [0.009, 0.174, 0.750], [0.039, 0.361, 0.250], [0.174, 0.009, 0.250], [0.279, 0.521, 0.250], [0.361, 0.039, 0.750], [0.479, 0.721, 0.250], [0.521, 0.279, 0.750], [0.639, 0.961, 0.250], [0.721, 0.479, 0.750], [0.826, 0.991, 0.750], [0.961, 0.639, 0.750], [0.991, 0.826, 0.250], [0.207, 0.365, 0.750], [0.365, 0.207, 0.250], [0.635, 0.793, 0.750], [0.793, 0.635, 0.250]], "final_energy_ev_per_atom": -4.405, "delta_e_f_mev_per_atom": -82, "magmom_total_mub_per_fu": 0.000, "spacegroup": "Cmcm"}

***

{"formula": "LaPm4In5", "functional": "PBE", "state": "relaxed", "cell": [[3.866, 0.000, 0.000], [0.000, 3.866, 0.000], [0.000, 0.000, 19.391]], "species": ["La", "Pm", "Pm", "Pm", "Pm", "In", "In", "In", "In", "In"], "frac_coords": [[0.000, 0.000, 0.000], [0.000, 0.000, 0.204], [0.000, 0.000, 0.402], [0.000, 0.000, 0.598], [0.000, 0.000, 0.796], [0.500, 0.500, 0.107], [0.500, 0.500, 0.303], [0.500, 0.500, 0.500], [0.500, 0.500, 0.697], [0.500, 0.500, 0.893]], "final_energy_ev_per_atom": -4.264, "delta_e_f_mev_per_atom": -502, "magmom_total_mub_per_fu": 0.000, "spacegroup": "P4/mmm"}

***

{"formula": "LaPm2In", "functional": "PBE", "state": "relaxed", "cell": [[5.020, 0.000, 0.000], [0.000, 5.020, 0.000], [0.000, 0.000, 4.930]], "species": ["La", "Pm", "Pm", "In"], "frac_coords": [[0.000, 0.000, 0.000], [0.000, 0.500, 0.500], [0.500, 0.000, 0.500], [0.500, 0.500, 0.000]], "polymorph_energy_ev_per_fu": 0.000, "final_energy_ev_per_atom": -4.570, "delta_e_f_mev_per_atom": -279, "magmom_total_mub_per_fu": 0.000, "spacegroup": "P4/mmm"}

***

{"formula": "La3PmIn4", "functional": "PBE", "state": "relaxed", "cell": [[3.925, 0.000, 0.000], [0.000, 3.925, 0.000], [0.000, 0.000, 15.746]], "species": ["La", "La", "La", "Pm", "In", "In", "In", "In"], "frac_coords": [[0.000, 0.000, 0.000], [0.000, 0.000, 0.254], [0.000, 0.000, 0.746], [0.000, 0.000, 0.500], [0.500, 0.500, 0.127], [0.500, 0.500, 0.383], [0.500, 0.500, 0.617], [0.500, 0.500, 0.873]], "final_energy_ev_per_atom": -4.324, "delta_e_f_mev_per_atom": -513, "magmom_total_mub_per_fu": 0.000, "spacegroup": "P4/mmm"}

***

{"formula": "La5Pm3In", "functional": "PBE", "state": "relaxed", "cell": [[5.732, -4.081, 0.000], [5.732, 4.081, 0.000], [-0.045, 0.000, 13.978]], "species": ["La", "La", "La", "La", "La", "La", "La", "La", "La", "La", "Pm", "Pm", "Pm", "Pm", "Pm", "Pm", "In", "In"], "frac_coords": [[0.001, 0.001, 0.256], [0.013, 0.490, 0.663], [0.171, 0.829, 0.000], [0.266, 0.266, 0.878], [0.490, 0.013, 0.663], [0.510, 0.987, 0.337], [0.734, 0.734, 0.122], [0.829, 0.171, 0.000], [0.987, 0.510, 0.337], [0.999, 0.999, 0.744], [0.132, 0.132, 0.496], [0.266, 0.266, 0.129], [0.500, 0.500, 0.000], [0.500, 0.500, 0.500], [0.734, 0.734, 0.871], [0.868, 0.868, 0.504], [0.498, 0.498, 0.260], [0.502, 0.502, 0.740]], "final_energy_ev_per_atom": -4.401, "delta_e_f_mev_per_atom": 224, "magmom_total_mub_per_fu": 0.000, "spacegroup": "C2/m"}

***

{"formula": "La2PmIn2", "functional": "PBE", "state": "relaxed", "cell": [[-2.603, 3.654, 4.187], [2.603, -3.654, 4.187], [2.603, 3.654, -4.187]], "species": ["La", "La", "Pm", "In", "In"], "frac_coords": [[0.189, 0.189, 0.000], [0.811, 0.811, 0.000], [0.500, 0.000, 0.500], [0.208, 0.500, 0.708], [0.792, 0.500, 0.292]], "polymorph_energy_ev_per_fu": 0.000, "final_energy_ev_per_atom": -4.419, "delta_e_f_mev_per_atom": -403, "magmom_total_mub_per_fu": 0.000, "spacegroup": "Immm"}

***

{"formula": "La8Pm2In", "functional": "PBE", "state": "relaxed", "cell": [[9.386, -2.555, 0.000], [9.386, 2.555, 0.000], [-2.249, 0.000, 7.974]], "species": ["La", "La", "La", "La", "La", "La", "La", "La", "Pm", "Pm", "In"], "frac_coords": [[0.045, 0.045, 0.234], [0.135, 0.135, 0.677], [0.324, 0.324, 0.591], [0.410, 0.410, 0.053], [0.590, 0.590, 0.947], [0.676, 0.676, 0.409], [0.865, 0.865, 0.323], [0.955, 0.955, 0.766], [0.227, 0.227, 0.136], [0.773, 0.773, 0.864], [0.500, 0.500, 0.500]], "final_energy_ev_per_atom": -4.775, "delta_e_f_mev_per_atom": -79, "magmom_total_mub_per_fu": 0.000, "spacegroup": "C2/m"}